12
Lattice="4.138 -0.021 -0.006 0.026 5.720 -0.223 0.016 -0.230 9.585" Properties=species:S:1:pos:R:3 comment="CsTbHg2F8 (PBE-GGA, relaxed)" dos_at_fermi_per_ev_cell=0.00 volume_a3_per_atom=18.9 mass_density_g_cm3=6.190 raw_formation_energy_ev_per_atom=-2.52 pbc="T T T"
Hg 2.084 2.689 1.892
Hg 2.096 2.780 7.465
F 2.105 4.263 9.120
F 4.147 1.155 1.935
Cs 0.008 -0.115 4.793
F 0.034 4.314 7.422
F 2.088 1.636 5.730
F 0.022 1.456 8.128
F 4.159 4.013 1.229
F 2.093 3.833 3.627
Tb 0.000 0.000 0.000
F 2.075 1.206 0.237

18
Lattice="-0.830 -7.156 4.525 7.240 -2.337 -2.367 -0.774 7.467 3.670" Properties=species:S:1:pos:R:3 comment="CsTbHgF6 (PBE-GGA, relaxed)" dos_at_fermi_per_ev_cell=0.00 volume_a3_per_atom=22.6 mass_density_g_cm3=4.961 raw_formation_energy_ev_per_atom=-2.92 pbc="T T T"
F 1.626 3.635 2.693
Hg -0.415 -3.578 2.263
F -0.316 -4.264 4.549
Tb -0.802 0.156 4.098
F 5.605 -0.762 3.176
F 4.358 -2.659 1.237
F 4.010 -5.660 3.135
F 0.032 -1.263 2.652
F 6.404 -0.662 0.127
F 1.824 -3.682 2.509
Cs 3.058 -2.300 4.919
Tb -0.387 3.734 1.835
Hg 3.205 -4.746 1.079
F 1.278 0.635 4.591
F -0.768 -1.363 5.701
Cs 2.578 0.276 0.908
F 5.952 2.239 1.278
F 3.812 1.657 3.319

18
Lattice="8.473 0.174 0.123 4.335 7.282 0.123 4.335 2.523 6.832" Properties=species:S:1:pos:R:3 comment="Cs2TbHg3F12 (PBE-GGA, relaxed)" dos_at_fermi_per_ev_cell=3.82 volume_a3_per_atom=22.8 mass_density_g_cm3=5.065 raw_formation_energy_ev_per_atom=-2.28 pbc="T T T"
F 3.905 2.273 4.685
Cs 5.643 3.285 2.330
Hg 4.236 0.087 0.062
F 10.716 9.138 6.482
F 8.914 5.189 0.526
F 8.229 4.790 6.552
F 10.818 3.320 2.355
Hg 2.168 3.641 0.062
F 13.238 7.706 2.393
Hg 2.168 1.262 3.416
F 3.905 5.173 0.596
Cs 11.500 6.694 4.748
F 6.427 0.841 0.596
F 13.238 4.805 6.482
Tb 0.000 0.000 0.000
F 6.325 6.659 4.723
F 8.914 2.211 4.723
F 8.229 7.767 2.355

10
Lattice="7.005 0.000 0.000 0.000 7.005 0.000 3.502 3.502 4.954" Properties=species:S:1:pos:R:3 comment="Cs2TcHgF6 (PBE-GGA, relaxed)" dos_at_fermi_per_ev_cell=0.00 volume_a3_per_atom=24.3 mass_density_g_cm3=4.635 raw_formation_energy_ev_per_atom=-2.26 pbc="T T T"
F 3.502 3.502 1.971
Cs 3.502 7.005 2.477
Hg 0.000 0.000 0.000
Cs 7.005 3.502 2.477
F 2.109 4.896 0.000
F 2.109 2.109 0.000
F 4.896 4.896 0.000
Tc 3.502 3.502 0.000
F 7.005 7.005 2.983
F 4.896 2.109 0.000

Repeat the third record exactly.
18
Lattice="8.473 0.174 0.123 4.335 7.282 0.123 4.335 2.523 6.832" Properties=species:S:1:pos:R:3 comment="Cs2TbHg3F12 (PBE-GGA, relaxed)" dos_at_fermi_per_ev_cell=3.82 volume_a3_per_atom=22.8 mass_density_g_cm3=5.065 raw_formation_energy_ev_per_atom=-2.28 pbc="T T T"
F 3.905 2.273 4.685
Cs 5.643 3.285 2.330
Hg 4.236 0.087 0.062
F 10.716 9.138 6.482
F 8.914 5.189 0.526
F 8.229 4.790 6.552
F 10.818 3.320 2.355
Hg 2.168 3.641 0.062
F 13.238 7.706 2.393
Hg 2.168 1.262 3.416
F 3.905 5.173 0.596
Cs 11.500 6.694 4.748
F 6.427 0.841 0.596
F 13.238 4.805 6.482
Tb 0.000 0.000 0.000
F 6.325 6.659 4.723
F 8.914 2.211 4.723
F 8.229 7.767 2.355